No. 1
## CaP3 (SCAN)

Data for CaP3 at its PBEsol-relaxed geometry.

Unit cell a=3.3892 b=3.3892 c=7.2978 alpha=90.00 beta=90.00 gamma=120.00
Last column: nearest neighbours and their distance in Å.
Element x y z (fractional)
Ca 0.0000 0.0000 0.0000  6 P 2.88
P 0.0000 0.0000 0.5000  6 P 2.49
P 0.3333 0.6667 0.2893  3 P 2.49
P 0.3333 0.6667 0.7107  3 P 2.49

Output
ΔH_f (0 K) = 33 meV/atom
Magnetization = 0.00 μB/cell
SG = P-6m2
Final energy = -40.728 eV per formula unit
D(E_F) = 0.3648 states/eV per atom


No. 2
## Ca2P (SCAN)

Data for Ca2P at its PBEsol-relaxed geometry.

Unit cell a=4.1505 b=4.1505 c=6.8314 alpha=90.00 beta=90.00 gamma=120.00
Last column: nearest neighbours and their distance in Å.
Element x y z (fractional)
Ca 0.3333 0.6667 0.2126  3 P 2.80
Ca 0.6667 0.3333 0.7874  3 P 2.80
P 0.0000 0.0000 0.0000  6 Ca 2.80

Output
ΔH_f (0 K) = -975 meV/atom
Magnetization = 0.19 μB/cell
SG = P-3m1
Final energy = -32.652 eV per formula unit
D(E_F) = 0.4504 states/eV per atom


No. 3
## Ca3P (SCAN)

Data for Ca3P at its PBEsol-relaxed geometry.

Unit cell a=7.4480 b=9.6616 c=6.5978 alpha=90.00 beta=90.00 gamma=90.00
Last column: nearest neighbours and their distance in Å.
Element x y z (fractional)
Ca 0.0459 0.2500 0.1548  2 P 2.87-2.93
Ca 0.1741 0.0690 0.6744  2 P 2.90-2.93
Ca 0.1741 0.4310 0.6744  2 P 2.90-2.93
Ca 0.3259 0.5690 0.1744  2 P 2.90-2.93
Ca 0.3259 0.9310 0.1744  2 P 2.90-2.93
Ca 0.4541 0.7500 0.6548  2 P 2.87-2.93
Ca 0.5459 0.2500 0.3452  2 P 2.87-2.93
Ca 0.6741 0.0690 0.8256  2 P 2.90-2.93
Ca 0.6741 0.4310 0.8256  2 P 2.90-2.93
Ca 0.8259 0.5690 0.3256  2 P 2.90-2.93
Ca 0.8259 0.9310 0.3256  2 P 2.90-2.93
Ca 0.9541 0.7500 0.8452  2 P 2.87-2.93
P 0.1186 0.7500 0.4425  6 Ca 2.87-2.93
P 0.3814 0.2500 0.9425  6 Ca 2.87-2.93
P 0.6186 0.7500 0.0575  6 Ca 2.87-2.93
P 0.8814 0.2500 0.5575  6 Ca 2.87-2.93

Output
ΔH_f (0 K) = -725 meV/atom
Magnetization = 4.01 μB/cell
SG = Pnma
Final energy = -42.291 eV per formula unit
D(E_F) = 0.3401 states/eV per atom


No. 4
## Ca3P (SCAN)

Data for Ca3P at its PBEsol-relaxed geometry.

Unit cell a=5.5323 b=5.5323 c=5.5323 alpha=90.00 beta=90.00 gamma=90.00
Last column: nearest neighbours and their distance in Å.
Element x y z (fractional)
Ca 0.0000 0.0000 0.5000  2 P 2.77
Ca 0.0000 0.5000 0.0000  2 P 2.77
Ca 0.5000 0.0000 0.0000  2 P 2.77
P 0.0000 0.0000 0.0000  6 Ca 2.77

Output
ΔH_f (0 K) = -493 meV/atom
Magnetization = 0.21 μB/cell
SG = Pm-3m
Final energy = -41.361 eV per formula unit
D(E_F) = 0.7142 states/eV per atom